20
Lattice="4.4602 -5.6079 0.0000 4.4602 5.6079 0.0000 0.0000 0.0000 5.4776" Properties=species:S:1:pos:R:3 comment="GGA+U Tb3CoO6, optimized geometry" final_energy_ha_per_atom=-0.2862 pbc="T T T"
Tb 4.4602 4.4601 2.7388
Tb 2.7462 1.1675 2.9876
Tb 2.7462 -1.1675 0.2487
Tb 6.1742 1.1675 2.9876
Tb 6.1742 -1.1675 0.2487
Tb 4.4602 -4.4601 0.0000
Co 4.4602 2.2123 0.4186
Co 4.4602 -2.2123 3.1574
O 3.0630 2.9624 1.4298
O 1.4269 0.1770 1.5004
O 1.4269 -0.1770 4.2392
O 4.4602 2.4019 4.0567
O 5.8574 2.9624 1.4298
O 4.4602 0.4445 1.2049
O 4.4602 -0.4445 3.9437
O 3.0630 -2.9624 4.1686
O 4.4602 -2.4019 1.3179
O 7.4935 0.1770 1.5004
O 7.4935 -0.1770 4.2392
O 5.8574 -2.9624 4.1686

---

9
Lattice="5.5879 -2.7275 0.0000 5.5879 2.7275 0.0000 -1.0313 0.0000 3.6222" Properties=species:S:1:pos:R:3 comment="GGA+U Tb2CoO6, optimized geometry" final_energy_ha_per_atom=-0.2474 dos_at_fermi_per_ev_atom=0.5021 pbc="T T T"
Tb 1.7267 0.0000 0.6736
Tb 8.4179 0.0000 2.9487
Co 5.0723 0.0000 1.8111
O 3.5719 1.3124 1.2213
O 5.5879 1.2168 0.0000
O 6.5727 1.3124 2.4010
O 3.5719 -1.3124 1.2213
O 5.5879 -1.2168 0.0000
O 6.5727 -1.3124 2.4010

---

20
Lattice="5.3358 0.0000 0.0000 0.0000 5.6813 0.0000 -5.2380 0.0000 7.7087" Properties=species:S:1:pos:R:3 comment="GGA+U Tb2TiCoO6, optimized geometry" final_energy_ha_per_atom=-0.2993 dos_at_fermi_per_ev_atom=0.0000 pbc="T T T"
Tb -0.0866 0.4034 1.9100
Tb -2.7056 2.4373 5.7644
Tb 2.8034 3.2440 1.9443
Tb 0.1844 5.2779 5.7987
Ti 2.6679 0.0000 0.0000
Ti 0.0489 2.8406 3.8543
Co -2.6190 0.0000 3.8543
Co 0.0000 2.8406 0.0000
O -4.1748 1.0597 7.2858
O -1.5558 1.7810 3.4314
O -3.5444 4.0144 7.2217
O -0.9254 4.5076 3.3673
O -1.9725 0.2449 5.8415
O 0.6464 2.5957 1.9872
O -0.5486 3.0856 5.7215
O 2.0704 5.4364 1.8672
O 1.0232 1.1737 4.3414
O 3.6422 1.6669 0.4870
O 1.6537 3.9003 4.2773
O 4.2726 4.6216 0.4229

---

12
Lattice="-3.4618 3.4618 3.2808 3.4618 -3.4618 3.2808 3.4618 3.4618 -3.2808" Properties=species:S:1:pos:R:3 comment="GGA+U TbUCo2O8, optimized geometry" final_energy_ha_per_atom=-0.2772 pbc="T T T"
Tb 0.0000 0.0000 0.0000
U 0.0000 3.4618 1.6404
Co 3.4618 0.0000 1.6404
Co 0.0000 0.0000 3.2808
O 2.2706 0.0000 0.3658
O 4.6531 0.0000 0.3658
O 3.4618 2.1012 -1.2693
O 3.4618 -1.1912 2.9150
O 0.0000 1.3606 2.0115
O 3.4618 1.1912 2.9150
O 2.1012 3.4618 1.2693
O 1.3606 0.0000 4.5502